Entry 1:
{
  "formula": "Ag2BrF2",
  "functional": "PBE",
  "state": "relaxed",
  "lattice": [[7.0405, -2.1714, 0.0000], [7.0405, 2.1714, 0.0000], [-4.4913, 0.0000, 7.3642]],
  "species": ["Ag", "Ag", "Ag", "Ag", "Br", "Br", "F", "F", "F", "F"],
  "fractional_positions": [[0.0148, 0.0148, 0.2286], [0.3471, 0.3471, 0.4050], [0.6529, 0.6529, 0.5950], [0.9852, 0.9852, 0.7714], [0.1574, 0.1574, 0.1109], [0.8426, 0.8426, 0.8891], [0.1487, 0.1487, 0.5632], [0.4977, 0.4977, 0.3229], [0.5023, 0.5023, 0.6771], [0.8513, 0.8513, 0.4368]],
  "raw_formation_energy_ev_per_atom": -0.822,
  "rho_g_cm3": 4.9,
  "relative_energy_mev_per_atom": 0,
  "space_group": "C2/m"
}

Entry 2:
{
  "formula": "Y2Al3ZnPd4",
  "functional": "PBE",
  "state": "relaxed",
  "lattice": [[4.2641, 0.0000, 0.0000], [0.0000, 4.2641, 0.0000], [0.0000, 0.0000, 10.2837]],
  "species": ["Y", "Y", "Al", "Al", "Al", "Zn", "Pd", "Pd", "Pd", "Pd"],
  "fractional_positions": [[0.0000, 0.5000, 0.2480], [0.5000, 0.0000, 0.7520], [0.0000, 0.5000, 0.8742], [0.5000, 0.0000, 0.1258], [0.5000, 0.5000, 0.5000], [0.0000, 0.0000, 0.5000], [0.0000, 0.0000, 0.0000], [0.0000, 0.5000, 0.6366], [0.5000, 0.0000, 0.3634], [0.5000, 0.5000, 0.0000]],
  "rho_g_cm3": 6.7,
  "delta_e_f_ev_per_atom": -0.81,
  "space_group": "P-4m2"
}

Entry 3:
{
  "formula": "Pm2Nd3Tm3",
  "functional": "PBE",
  "state": "relaxed",
  "lattice": [[-2.9869, 2.9975, 7.3968], [2.9869, -2.9975, 7.3968], [2.9869, 2.9975, -7.3968]],
  "species": ["Pm", "Pm", "Nd", "Nd", "Nd", "Tm", "Tm", "Tm"],
  "fractional_positions": [[0.2457, 0.2457, 0.0000], [0.7543, 0.7543, 0.0000], [0.1275, 0.6275, 0.5000], [0.5000, 0.5000, 0.0000], [0.8725, 0.3725, 0.5000], [0.0000, 0.0000, 0.0000], [0.3776, 0.8776, 0.5000], [0.6224, 0.1224, 0.5000]],
  "rho_g_cm3": 7.7,
  "delta_e_f_ev_per_atom": 0.12,
  "relative_energy_mev_per_atom": 99,
  "space_group": "Immm"
}

Entry 4:
{
  "formula": "ZnAg2AuCl6",
  "functional": "PBE",
  "state": "relaxed",
  "lattice": [[6.0238, 0.0000, 0.0000], [2.3049, 6.3101, 0.0000], [1.5326, 2.0897, 7.5989]],
  "species": ["Zn", "Ag", "Ag", "Au", "Cl", "Cl", "Cl", "Cl", "Cl", "Cl"],
  "fractional_positions": [[0.0000, 0.0000, 0.0000], [0.2371, 0.5305, 0.7866], [0.5894, 0.0257, 0.5874], [0.4977, 0.6657, 0.3334], [0.0230, 0.3127, 0.0332], [0.2905, 0.3898, 0.4845], [0.3519, 0.7100, 0.0545], [0.6258, 0.6234, 0.6189], [0.6731, 0.9710, 0.2042], [0.9688, 0.9704, 0.7286]],
  "raw_formation_energy_ev_per_atom": -0.544,
  "rho_g_cm3": 4.0,
  "space_group": "P1"
}

Entry 5:
{
  "formula": "K2SnPt3",
  "functional": "PBE",
  "state": "relaxed",
  "lattice": [[4.7573, -2.9068, 0.0000], [4.7573, 2.9068, 0.0000], [-2.9611, 0.0000, 4.6893]],
  "species": ["K", "K", "Sn", "Pt", "Pt", "Pt"],
  "fractional_positions": [[0.1197, 0.1197, 0.3799], [0.8803, 0.8803, 0.6201], [0.5000, 0.5000, 0.0000], [0.0000, 0.5000, 0.0000], [0.5000, 0.0000, 0.0000], [0.5000, 0.5000, 0.5000]],
  "rho_g_cm3": 10.0,
  "delta_e_f_ev_per_atom": -0.30,
  "relative_energy_mev_per_atom": 0,
  "space_group": "C2/m"
}

Please write out number 4 again, unchanged.
{
  "formula": "ZnAg2AuCl6",
  "functional": "PBE",
  "state": "relaxed",
  "lattice": [[6.0238, 0.0000, 0.0000], [2.3049, 6.3101, 0.0000], [1.5326, 2.0897, 7.5989]],
  "species": ["Zn", "Ag", "Ag", "Au", "Cl", "Cl", "Cl", "Cl", "Cl", "Cl"],
  "fractional_positions": [[0.0000, 0.0000, 0.0000], [0.2371, 0.5305, 0.7866], [0.5894, 0.0257, 0.5874], [0.4977, 0.6657, 0.3334], [0.0230, 0.3127, 0.0332], [0.2905, 0.3898, 0.4845], [0.3519, 0.7100, 0.0545], [0.6258, 0.6234, 0.6189], [0.6731, 0.9710, 0.2042], [0.9688, 0.9704, 0.7286]],
  "raw_formation_energy_ev_per_atom": -0.544,
  "rho_g_cm3": 4.0,
  "space_group": "P1"
}